Record 1
This record from Alexandria via LeMat-Bulk describes an optimized crystal structure of Li2NdZnAu4. The functional is PBE-GGA.

The structure in POSCAR format:
```
Li2NdZnAu4
1.0
-4.438 0.819 -0.107
-2.933 -3.422 0.247
-2.536 -0.180 8.628
Li Nd Zn Au
2 1 1 4
direct
0.764 0.764 0.707
0.236 0.236 0.293
0.000 0.000 0.000
0.500 0.500 0.500
0.398 0.398 0.805
0.872 0.872 0.384
0.128 0.128 0.616
0.602 0.602 0.195
```

Calculated values
Calculated formation energy (eV per atom): -0.55
Space group: R-3m, No. 166

***

Record 2
This record from Alexandria via LeMat-Bulk describes an optimized crystal structure of Ta2AsBr. The functional is PBE-GGA.

The structure in POSCAR format:
```
Ta2AsBr
1.0
-2.022 -8.046 1.855
-1.894 -8.178 -1.339
0.789 -8.456 0.382
As Br Ta
1 1 2
direct
0.250 0.250 0.250
0.750 0.750 0.750
0.993 0.993 0.993
0.507 0.507 0.507
```

Calculated values
ΔE_f (raw) (eV per formula unit): 0.87
E above lowest polymorph (meV per atom): 360
Space group: R-3m, No. 166

***

Record 3
This record from Alexandria via LeMat-Bulk describes an optimized crystal structure of MgFeHg. The functional is PBE-GGA.

The structure in POSCAR format:
```
MgFeHg
1.0
4.597 0.000 0.000
-2.299 3.981 0.000
0.000 0.000 2.946
Fe Hg Mg
1 1 1
direct
0.000 0.000 0.080
0.667 0.333 0.258
0.333 0.667 0.662
```

Calculated values
E above lowest polymorph (meV per atom): 67
Calculated formation energy (eV per atom): 0.29
Space group: P3m1, No. 156

***

Record 4
This record from Alexandria via LeMat-Bulk describes an optimized crystal structure of RbGaHg2F8. The functional is PBE-GGA.

The structure in POSCAR format:
```
RbGaHg2F8
1.0
5.029 0.010 -0.135
0.061 5.354 -0.398
-0.224 -0.573 7.622
Rb Ga Hg F
1 1 2 8
direct
0.000 0.000 0.500
0.000 0.000 0.000
0.549 0.541 0.758
0.451 0.459 0.242
0.171 0.818 0.166
0.685 0.774 0.997
0.877 0.235 0.196
0.829 0.182 0.834
0.315 0.226 0.003
0.123 0.765 0.804
0.544 0.729 0.466
0.456 0.271 0.534
```

Calculated values
ΔE_f (raw) (eV per formula unit): -24.54
Space group: P-1, No. 2

***

Record 5
This record from Alexandria via LeMat-Bulk describes an optimized crystal structure of HoGa4Pt2. The functional is PBE-GGA.

The structure in POSCAR format:
```
HoGa4Pt2
1.0
4.278 0.000 0.000
0.000 6.693 0.000
0.000 0.000 17.295
Pt Ho Ga
8 4 16
direct
0.250 0.752 0.538
0.750 0.248 0.462
0.750 0.252 0.962
0.250 0.748 0.038
0.250 0.971 0.784
0.750 0.029 0.216
0.750 0.471 0.716
0.250 0.529 0.284
0.750 0.984 0.642
0.250 0.016 0.358
0.250 0.484 0.858
0.750 0.516 0.142
0.250 0.268 0.688
0.750 0.732 0.312
0.750 0.768 0.812
0.250 0.232 0.188
0.250 0.679 0.685
0.750 0.321 0.315
0.750 0.179 0.815
0.250 0.821 0.185
0.250 0.147 0.538
0.750 0.853 0.462
0.750 0.647 0.962
0.250 0.353 0.038
0.250 0.485 0.432
0.750 0.515 0.568
0.750 0.985 0.068
0.250 0.015 0.932
```

Calculated values
E above lowest polymorph (meV per atom): 0
Calculated formation energy (eV per atom): -0.81
Space group: Pnma, No. 62

***

Record 6
This record from Alexandria via LeMat-Bulk describes an optimized crystal structure of HfTcPb3. The functional is PBE-GGA.

The structure in POSCAR format:
```
HfTcPb3
1.0
-2.651 4.552 -0.046
-3.476 -1.989 3.422
2.940 1.752 4.005
Pb Hf Tc
3 1 1
direct
0.000 0.500 0.000
0.000 0.000 0.500
0.500 0.000 0.000
0.500 0.500 0.500
0.000 0.000 0.000
```

Calculated values
E above lowest polymorph (meV per atom): 0
Calculated formation energy (eV per atom): 0.94
Space group: Pm-3m, No. 221

***

Record 7
This record from Alexandria via LeMat-Bulk describes an optimized crystal structure of Na2Ga4Ge3Pd. The functional is PBE-GGA.

The structure in POSCAR format:
```
Na2Ga4Ge3Pd
1.0
4.292 0.000 0.000
0.000 4.292 0.000
0.000 0.000 11.109
Na Ga Ge Pd
2 4 3 1
direct
0.500 0.000 0.269
0.000 0.500 0.731
0.500 0.500 0.000
0.000 0.000 0.000
0.500 0.000 0.632
0.000 0.500 0.368
0.000 0.000 0.500
0.500 0.000 0.862
0.000 0.500 0.138
0.500 0.500 0.500
```

Calculated values
Calculated formation energy (eV per atom): -0.18
Space group: P-4m2, No. 115

***

Record 8
This record from Alexandria via LeMat-Bulk describes an optimized crystal structure of HoZr2Pt9. The functional is PBE-GGA.

The structure in POSCAR format:
```
HoZr2Pt9
1.0
-0.007 2.132 -3.470
1.437 -3.245 -1.997
-11.431 -3.685 -2.240
Ho Zr Pt
1 2 9
direct
0.000 0.000 0.000
0.000 0.000 0.333
0.000 0.000 0.667
0.500 0.500 0.000
0.500 0.500 0.336
0.500 0.500 0.664
0.500 0.000 0.173
0.500 0.000 0.500
0.500 0.000 0.827
0.000 0.500 0.173
0.000 0.500 0.500
0.000 0.500 0.827
```

Calculated values
Calculated formation energy (eV per atom): -1.06
Space group: P4/mmm, No. 123

***

The total energy results, record by record, are as follows: -3.425; -7.290; -3.160; -3.676; -4.916; -5.346; -3.554; -7.399 eV per atom.